Pa2BeCo6Si: optimized geometry, PBE.

Values from the calculation:
energy relative to the elements, uncorrected = -0.139 eV per atom
calculated total energy = -72.17 eV per cell

Cell lengths 5.8198, 5.8198, 5.8198 Å; angles 60.00, 60.00, 60.00 degrees
Sites, in units of the cell vectors:
Pa 0.2500 0.2500 0.2500
Pa 0.7500 0.7500 0.7500
Be 0.0000 0.0000 0.0000
Co 0.2400 0.2400 0.7600
Co 0.2400 0.7600 0.2400
Co 0.2400 0.7600 0.7600
Co 0.7600 0.2400 0.2400
Co 0.7600 0.2400 0.7600
Co 0.7600 0.7600 0.2400
Si 0.5000 0.5000 0.5000